Record 1
The following is a PBE calculation of MgZrFeBi after structural relaxation, from the Open Quantum Materials Database.

Properties
VASP energy	-5.26	eV/atom

Lattice parameters (Å, degrees): 4.8581 4.8581 4.8581 60.00 60.00 60.00
Fractional coordinates of all 4 atoms:
Bi: 0.0000 0.0000 0.0000
Fe: 0.7500 0.7500 0.7500
Mg: 0.5000 0.5000 0.5000
Zr: 0.2500 0.2500 0.2500

Record 2
The following is a PBE calculation of MgZrFeBi after structural relaxation, from the Open Quantum Materials Database.

Properties
VASP energy	-5.39	eV/atom

Lattice parameters (Å, degrees): 4.7615 4.7615 4.7615 60.00 60.00 60.00
Fractional coordinates of all 4 atoms:
Bi: 0.0000 0.0000 0.0000
Fe: 0.7500 0.7500 0.7500
Mg: 0.2500 0.2500 0.2500
Zr: 0.5000 0.5000 0.5000

Record 3
The following is a PBE calculation of FeBi2Mo after structural relaxation, from the Open Quantum Materials Database.

Properties
VASP energy	-5.83	eV/atom

Lattice parameters (Å, degrees): 4.9497 4.9497 4.9497 60.00 60.00 60.00
Site moments in Bohr magnetons follow the coordinates.
Fractional coordinates of all 4 atoms:
Bi: 0.0000 0.0000 0.0000  0.01
Bi: 0.7500 0.7500 0.7500  -0.02
Fe: 0.5000 0.5000 0.5000  2.79
Mo: 0.2500 0.2500 0.2500  0.70